## Sc2Mn (PBE-GGA)

Data for a relaxed structure of Sc2Mn.

The structure in CIF format:
```
data_Sc2Mn
_cell_length_a 4.7636
_cell_length_b 4.7636
_cell_length_c 2.9216
_cell_angle_alpha 90.00
_cell_angle_beta 90.00
_cell_angle_gamma 120.00
_space_group_name_H-M_alt 'P 6/m m m'
_space_group_IT_number 191
_space_group_name_Hall '-P 6 2'
loop_
_atom_site_label
_atom_site_fract_x
_atom_site_fract_y
_atom_site_fract_z
Sc1 0.3333 0.6667 0.0000
Mn1 0.0000 0.0000 0.5000
```

M_tot (μB/atom): 0.71
Uncorrected energy (eV per atom): -7.04

---

## Cs4U3RhSe8 (PBE-GGA)

Data for a relaxed structure of Cs4U3RhSe8.

The structure in CIF format:
```
data_Cs4U3RhSe8
_cell_length_a 8.3600
_cell_length_b 8.3600
_cell_length_c 25.2268
_cell_angle_alpha 90.00
_cell_angle_beta 90.00
_cell_angle_gamma 120.00
_space_group_name_H-M_alt 'R -3 m'
_space_group_IT_number 166
_space_group_name_Hall '-R 3 2"'
loop_
_atom_site_label
_atom_site_fract_x
_atom_site_fract_y
_atom_site_fract_z
Cs1 0.0000 0.0000 0.0000
Cs2 0.0000 0.5000 0.0000
U1 0.0000 0.5000 0.5000
Rh1 0.0000 0.0000 0.5000
Se1 0.0000 0.0000 0.2304
Se2 0.0095 0.5048 0.2267
```

M_tot (μB/atom): 0.56
Formation energy from raw total energies (eV per atom): -1.035

---

## SrBeAu2 (PBE-GGA)

Data for a relaxed structure of SrBeAu2.

The structure in CIF format:
```
data_SrBeAu2
_cell_length_a 4.2727
_cell_length_b 4.2727
_cell_length_c 17.0446
_cell_angle_alpha 90.00
_cell_angle_beta 90.00
_cell_angle_gamma 120.00
_space_group_name_H-M_alt 'R 3 m'
_space_group_IT_number 160
_space_group_name_Hall 'R 3 -2"'
loop_
_atom_site_label
_atom_site_fract_x
_atom_site_fract_y
_atom_site_fract_z
Sr1 0.0000 0.0000 0.0000
Be1 0.0000 0.0000 0.8122
Au1 0.0000 0.0000 0.2004
Au2 0.0000 0.0000 0.4577
```

M_tot (μB/atom): 0.00
Uncorrected energy (eV per atom): -3.37

---

## KYRh2W (PBE-GGA)

Data for a relaxed structure of KYRh2W.

The structure in CIF format:
```
data_KYRh2W
_cell_length_a 4.617
_cell_length_b 4.617
_cell_length_c 4.867
_cell_angle_alpha 90.00
_cell_angle_beta 90.00
_cell_angle_gamma 90.00
_space_group_name_H-M_alt 'P 4/m m m'
_space_group_IT_number 123
_space_group_name_Hall '-P 4 2'
loop_
_atom_site_label
_atom_site_fract_x
_atom_site_fract_y
_atom_site_fract_z
K1 0.000 0.000 0.000
Y1 0.000 0.000 0.500
Rh1 0.000 0.500 0.000
W1 0.500 0.500 0.500
```

M_tot (μB/atom): 0.00
Energy above the most stable polymorph in this dataset (meV/atom): 1200

---

## Dy6CoAu (PBE-GGA)

Data for a relaxed structure of Dy6CoAu.

The structure in CIF format:
```
data_Dy6CoAu
_cell_length_a 6.6019
_cell_length_b 6.6019
_cell_length_c 19.1608
_cell_angle_alpha 90.00
_cell_angle_beta 90.00
_cell_angle_gamma 120.00
_space_group_name_H-M_alt 'R -3'
_space_group_IT_number 148
_space_group_name_Hall '-R 3'
loop_
_atom_site_label
_atom_site_fract_x
_atom_site_fract_y
_atom_site_fract_z
Dy1 0.9996 0.3534 0.4122
Co1 0.0000 0.0000 0.0000
Au1 0.0000 0.0000 0.5000
```

M_tot (μB/atom): 0.00
Uncorrected energy (eV per atom): -4.91

---

## CsTl3Cu (PBE-GGA)

Data for a relaxed structure of CsTl3Cu.

The structure in CIF format:
```
data_CsTl3Cu
_cell_length_a 5.531
_cell_length_b 5.531
_cell_length_c 5.531
_cell_angle_alpha 90.00
_cell_angle_beta 90.00
_cell_angle_gamma 90.00
_space_group_name_H-M_alt 'P m -3 m'
_space_group_IT_number 221
_space_group_name_Hall '-P 4 2 3'
loop_
_atom_site_label
_atom_site_fract_x
_atom_site_fract_y
_atom_site_fract_z
Cs1 0.000 0.000 0.000
Tl1 0.000 0.500 0.500
Cu1 0.500 0.500 0.500
```

M_tot (μB/atom): 0.00
Energy above the most stable polymorph in this dataset (meV/atom): 0

---

- Which value of M_tot does entry 4 give?
  0.00 μB/atom

---

- M_tot of number 4 (KYRh2W)?
  0.00 μB/atom

---

- The highest M_tot belongs to which entry?
  Sc2Mn